[1]
Computed, not measured: a geometry-optimized LiHo2P3Ir4 structure at the PBE-GGA level of DFT.

Geometry as POSCAR:
```
LiHo2P3Ir4
1.0
4.016 0.000 0.000
0.000 4.016 0.000
0.000 0.000 9.903
Li Ho P Ir
1 2 3 4
Direct
0.000 0.000 0.000
0.000 0.500 0.755
0.500 0.000 0.245
0.000 0.500 0.361
0.500 0.000 0.639
0.500 0.500 0.000
0.000 0.000 0.500
0.000 0.500 0.134
0.500 0.000 0.866
0.500 0.500 0.500
```

Properties
N(E_F) (states/eV per atom): 0.29
Calculated volume (A^3/atom): 15.974
SG: P-4m2, No. 115
Final energy (eV/atom): -7.2144

---

[2]
Computed, not measured: a geometry-optimized LiHoPaIr structure at the PBE-GGA level of DFT.

Geometry as POSCAR:
```
LiHoPaIr
1.0
0.000 3.471 3.471
3.471 0.000 3.471
3.471 3.471 0.000
Li Ho Pa Ir
1 1 1 1
Direct
0.000 0.000 0.000
0.750 0.750 0.750
0.250 0.250 0.250
0.500 0.500 0.500
```

Properties
N(E_F) (states/eV per atom): 1.37
Calculated volume (A^3/atom): 20.913
SG: F-43m, No. 216
Final energy (eV/atom): -6.4923

---

[3]
Computed, not measured: a geometry-optimized LiHoIrPd structure at the PBE-GGA level of DFT.

Geometry as POSCAR:
```
LiHoIrPd
1.0
0.000 3.256 3.256
3.256 0.000 3.256
3.256 3.256 0.000
Li Ho Ir Pd
1 1 1 1
Direct
0.000 0.000 0.000
0.500 0.500 0.500
0.250 0.250 0.250
0.750 0.750 0.750
```

Properties
N(E_F) (states/eV per atom): 0.71
Calculated volume (A^3/atom): 17.253
SG: F-43m, No. 216
Final energy (eV/atom): -5.6676

---

[4]
Computed, not measured: a geometry-optimized LiPmHoIr structure at the PBE-GGA level of DFT.

Geometry as POSCAR:
```
LiPmHoIr
1.0
0.000 3.516 3.516
3.516 0.000 3.516
3.516 3.516 0.000
Li Pm Ho Ir
1 1 1 1
Direct
0.000 0.000 0.000
0.250 0.250 0.250
0.750 0.750 0.750
0.500 0.500 0.500
```

Properties
N(E_F) (states/eV per atom): 0.73
Calculated volume (A^3/atom): 21.736
SG: F-43m, No. 216
Final energy (eV/atom): -5.5342

---

[5]
Computed, not measured: a geometry-optimized LiPrHoIr structure at the PBE-GGA level of DFT.

Geometry as POSCAR:
```
LiPrHoIr
1.0
0.000 3.545 3.545
3.545 0.000 3.545
3.545 3.545 0.000
Li Pr Ho Ir
1 1 1 1
Direct
0.000 0.000 0.000
0.750 0.750 0.750
0.250 0.250 0.250
0.500 0.500 0.500
```

Properties
N(E_F) (states/eV per atom): 0.73
Calculated volume (A^3/atom): 22.281
SG: F-43m, No. 216
Final energy (eV/atom): -5.4972

---

[6]
Computed, not measured: a geometry-optimized LiHoIrPt structure at the PBE-GGA level of DFT.

Geometry as POSCAR:
```
LiHoIrPt
1.0
0.000 3.249 3.249
3.249 0.000 3.249
3.249 3.249 0.000
Li Ho Ir Pt
1 1 1 1
Direct
0.000 0.000 0.000
0.500 0.500 0.500
0.250 0.250 0.250
0.750 0.750 0.750
```

Properties
N(E_F) (states/eV per atom): 0.46
Calculated volume (A^3/atom): 17.154
SG: F-43m, No. 216
Final energy (eV/atom): -5.9682

---

[7]
Computed, not measured: a geometry-optimized LiHoIrRh structure at the PBE-GGA level of DFT.

Geometry as POSCAR:
```
LiHoIrRh
1.0
0.000 3.210 3.210
3.210 0.000 3.210
3.210 3.210 0.000
Li Ho Ir Rh
1 1 1 1
Direct
0.000 0.000 0.000
0.500 0.500 0.500
0.250 0.250 0.250
0.750 0.750 0.750
```

Properties
N(E_F) (states/eV per atom): 0.62
Calculated volume (A^3/atom): 16.539
SG: F-43m, No. 216
Final energy (eV/atom): -6.1043

---

[8]
Computed, not measured: a geometry-optimized LiHoSi2Ir structure at the PBE-GGA level of DFT.

Geometry as POSCAR:
```
LiHoSi2Ir
1.0
-2.015 2.015 5.052
2.015 -2.015 5.052
2.015 2.015 -5.052
Li Ho Si Ir
1 1 2 1
Direct
0.000 0.000 0.000
0.750 0.250 0.500
0.132 0.632 0.500
0.368 0.868 0.500
0.500 0.500 0.000
```

Properties
Formation energy from raw total energies (eV/atom): -0.780
N(E_F) (states/eV per atom): 0.63
Calculated volume (A^3/atom): 16.417
SG: I-4m2, No. 119